The following is a DFT calculation (PBE) of an optimized crystal structure of CsHfCu2.

Geometry as POSCAR:
```
CsHfCu2
1.0
7.8523 0.0000 0.0000
0.0000 7.8523 0.0000
0.0000 0.0000 7.5762
Cs Hf Cu
4 4 8
direct
0.0000 0.0000 0.0000
0.0000 0.5000 0.2500
0.5000 0.0000 0.7500
0.5000 0.5000 0.5000
0.0000 0.0000 0.5000
0.0000 0.5000 0.7500
0.5000 0.0000 0.2500
0.5000 0.5000 0.0000
0.1762 0.2500 0.6250
0.2500 0.6762 0.8750
0.2500 0.8238 0.3750
0.3238 0.2500 0.1250
0.6762 0.7500 0.1250
0.7500 0.1762 0.3750
0.7500 0.3238 0.8750
0.8238 0.7500 0.6250
```

Computed properties:
symmetry = I-42d (122)
relative energy among the computed polymorphs = 0 meV/atom
formation energy = 0.967 eV per atom

=====

The following is a DFT calculation (PBE) of an optimized crystal structure of Al3SI.

Geometry as POSCAR:
```
Al3SI
1.0
5.1295 0.0000 0.0000
0.0000 5.1295 0.0000
0.0000 0.0000 5.1295
Al S I
3 1 1
direct
0.0000 0.0000 0.5000
0.0000 0.5000 0.0000
0.5000 0.0000 0.0000
0.0000 0.0000 0.0000
0.5000 0.5000 0.5000
```

Computed properties:
symmetry = Pm-3m (221)
relative energy among the computed polymorphs = 0 meV/atom
raw formation energy = 0.386 eV/atom

=====

Which value of relative energy among the computed polymorphs does entry 2 give? 0 meV/atom

=====

Look up the relative energy among the computed polymorphs of the first one. 0 meV/atom

=====

What is the relative energy among the computed polymorphs in the first record? 0 meV/atom